DFT (PBE) results for an optimized crystal structure of Li2CaInPt.

abc: 4.830 4.830 5.163
angles: 90.00 90.00 90.00
Fractional coordinates of all 5 atoms:
Ca: 0.500 0.500 0.500
Li: 0.000 0.500 0.000
Li: 0.500 0.000 0.000
Pt: 0.000 0.000 0.000
In: 0.000 0.000 0.500

- volume (Å³ per atom) = 24.09
- energy of formation from the pure elements (eV/atom) = -0.340
- magnetic moment (μB per formula unit) = 0.00